Computed, not measured: AcPaB2O8 after structural relaxation at the GGA-PBE level of DFT.

**D(E_F)**: 5.68 states/eV/cell
**Crystal system**: tetragonal
**E_form (uncorrected)**: -2537 meV per atom

POSCAR file:
```
AcPaB2O8
1.0
-2.382 2.382 5.905
2.382 -2.382 5.905
2.382 2.382 -5.905
Ac Pa B O
1 1 2 8
Direct
0.000 0.000 0.000 Ac
0.250 0.750 0.500 Pa
0.500 0.500 0.000 B
0.750 0.250 0.500 B
0.336 0.497 0.683 O
0.347 0.664 0.162 O
0.445 0.067 0.129 O
0.503 0.185 0.838 O
0.685 0.555 0.622 O
0.815 0.653 0.317 O
0.933 0.063 0.378 O
0.937 0.315 0.871 O
```

---

Computed, not measured: SmDy2CrN4 after structural relaxation at the GGA-PBE level of DFT.

**D(E_F)**: 7.01 states/eV/cell
**Crystal system**: orthorhombic
**E_form (uncorrected)**: -1237 meV per atom

POSCAR file:
```
SmDy2CrN4
1.0
1.698 -5.755 0.000
1.698 5.755 0.000
0.000 0.000 11.633
Sm Dy Cr N
2 4 2 8
Direct
0.100 0.900 0.750 Sm
0.900 0.100 0.250 Sm
0.369 0.631 0.543 Dy
0.369 0.631 0.957 Dy
0.631 0.369 0.043 Dy
0.631 0.369 0.457 Dy
0.164 0.836 0.250 Cr
0.836 0.164 0.750 Cr
0.000 0.000 0.000 N
0.000 0.000 0.500 N
0.266 0.734 0.129 N
0.266 0.734 0.371 N
0.426 0.574 0.750 N
0.574 0.426 0.250 N
0.734 0.266 0.629 N
0.734 0.266 0.871 N
```

---

Computed, not measured: Cs2U3S6 after structural relaxation at the GGA-PBE level of DFT.

**D(E_F)**: 12.33 states/eV/cell
**Crystal system**: monoclinic
**E_form (uncorrected)**: -1421 meV per atom

POSCAR file:
```
Cs2U3S6
1.0
3.491 -6.047 0.000
3.491 6.047 0.000
-2.326 0.000 8.306
Cs U S
2 3 6
Direct
0.167 0.833 0.000 Cs
0.833 0.167 0.000 Cs
0.000 0.000 0.500 U
0.334 0.666 0.500 U
0.666 0.334 0.500 U
0.058 0.392 0.677 S
0.273 0.273 0.322 S
0.392 0.058 0.677 S
0.608 0.942 0.323 S
0.727 0.727 0.678 S
0.942 0.608 0.323 S
```